1.
The following is a DFT calculation (SCAN) of a crystal of Zr5Al3P relaxed with PBEsol.

Cell and atoms, written as POSCAR:
```
Zr5Al3P
1.0
5.745 0.000 0.000
0.000 8.326 0.000
0.000 -4.163 7.211
P Zr Al
2 10 6
Direct
0.000 0.000 0.000
0.500 0.000 0.000
0.000 0.333 0.667
0.750 0.253 0.253
0.500 0.667 0.333
0.250 0.000 0.253
0.500 0.333 0.667
0.000 0.667 0.333
0.750 0.000 0.747
0.250 0.747 0.747
0.750 0.747 0.000
0.250 0.253 0.000
0.750 0.000 0.394
0.250 0.394 0.394
0.750 0.606 0.606
0.750 0.394 0.000
0.250 0.606 0.000
0.250 0.000 0.606
```

Summary:
**Calculated formation energy**: -698 meV/atom
**Space-group type**: P6_3/mcm
**Volume**: 345 Å³ per cell

2.
The following is a DFT calculation (SCAN) of a crystal of ZrAlP4 relaxed with PBEsol.

Cell and atoms, written as POSCAR:
```
ZrAlP4
1.0
5.046 0.000 0.000
2.523 4.370 0.000
2.523 1.457 4.120
Al P Zr
1 4 1
Direct
0.000 0.000 0.000
0.128 0.624 0.624
0.624 0.624 0.128
0.624 0.624 0.624
0.624 0.128 0.624
0.250 0.250 0.250
```

Summary:
**Calculated formation energy**: 211 meV/atom
**Space-group type**: F-43m
**Volume**: 91 Å³ per cell

3.
The following is a DFT calculation (SCAN) of a crystal of Zr2AlP2 relaxed with PBEsol.

Cell and atoms, written as POSCAR:
```
Zr2AlP2
1.0
-1.369 -2.921 -3.814
-0.183 -2.322 5.115
-4.531 -0.534 2.035
Al Zr P
1 2 2
Direct
0.000 0.000 0.000
0.694 0.389 0.306
0.306 0.611 0.694
0.250 0.500 0.250
0.750 0.500 0.750
```

Summary:
**Calculated formation energy**: -369 meV/atom
**Space-group type**: I4/mmm
**Volume**: 109 Å³ per cell

4.
The following is a DFT calculation (SCAN) of a crystal of ZrAlP2 relaxed with PBEsol.

Cell and atoms, written as POSCAR:
```
ZrAlP2
1.0
-2.053 0.542 -2.928
1.594 -2.805 -1.636
-3.708 -3.271 1.995
Al Zr P
1 1 2
Direct
0.500 0.500 0.156
0.000 0.000 0.604
0.000 0.000 0.107
0.500 0.500 0.632
```

Summary:
**Calculated formation energy**: -838 meV/atom
**Space-group type**: P4mm
**Volume**: 70 Å³ per cell

5.
The following is a DFT calculation (SCAN) of a crystal of ZrAlP3 relaxed with PBEsol.

Cell and atoms, written as POSCAR:
```
ZrAlP3
1.0
-0.277 1.588 -4.235
-2.530 -3.571 -1.174
-3.749 2.293 1.105
P Zr Al
3 1 1
Direct
0.000 0.000 0.500
0.500 0.000 0.000
0.000 0.500 0.000
0.500 0.500 0.500
0.000 0.000 0.000
```

Summary:
**Calculated formation energy**: 360 meV/atom
**Space-group type**: Pm-3m
**Volume**: 93 Å³ per cell

6.
The following is a DFT calculation (SCAN) of a crystal of Zr3AlP relaxed with PBEsol.

Cell and atoms, written as POSCAR:
```
Zr3AlP
1.0
-2.946 0.212 -3.773
-3.720 -1.001 2.849
-0.662 4.681 0.780
Al Zr P
1 3 1
Direct
0.500 0.500 0.500
0.500 0.000 0.000
0.000 0.500 0.000
0.000 0.000 0.500
0.000 0.000 0.000
```

Summary:
**Calculated formation energy**: -403 meV/atom
**Space-group type**: Pm-3m
**Volume**: 110 Å³ per cell

7.
The following is a DFT calculation (SCAN) of a crystal of Zr6Al2P relaxed with PBEsol.

Cell and atoms, written as POSCAR:
```
Zr6Al2P
1.0
-2.853 -2.268 -0.459
2.194 -3.965 5.952
-4.708 5.749 0.864
Zr P Al
6 1 2
Direct
0.000 0.000 0.254
0.500 0.000 0.608
0.500 0.392 0.392
0.000 0.254 0.000
0.500 0.608 0.000
0.000 0.746 0.746
0.500 0.000 0.000
0.000 0.667 0.333
0.000 0.333 0.667
```

Summary:
**Calculated formation energy**: -662 meV/atom
**Space-group type**: P-62m
**Volume**: 178 Å³ per cell

8.
The following is a DFT calculation (SCAN) of a crystal of ZrAlP2 relaxed with PBEsol.

Cell and atoms, written as POSCAR:
```
ZrAlP2
1.0
3.373 0.000 0.000
0.000 3.380 0.047
0.000 -1.086 5.643
P Zr Al
2 1 1
Direct
0.000 0.943 0.264
0.000 0.057 0.736
0.500 0.500 0.500
0.500 0.500 0.000
```

Summary:
**Calculated formation energy**: -615 meV/atom
**Space-group type**: P2/m
**Volume**: 65 Å³ per cell

9.
The following is a DFT calculation (SCAN) of a crystal of PaAl3 relaxed with PBEsol.

Cell and atoms, written as POSCAR:
```
PaAl3
1.0
-0.301 -0.623 4.505
-4.946 -3.680 -0.839
5.723 -2.442 0.044
Pa Al
2 6
Direct
0.250 0.667 0.333
0.750 0.333 0.667
0.750 0.299 0.150
0.750 0.850 0.150
0.750 0.850 0.701
0.250 0.150 0.299
0.250 0.701 0.850
0.250 0.150 0.850
```

Summary:
**Calculated formation energy**: -214 meV/atom
**Space-group type**: P6_3/mmc
**Volume**: 153 Å³ per cell

10.
The following is a DFT calculation (SCAN) of a crystal of PaAlTc2 relaxed with PBEsol.

Cell and atoms, written as POSCAR:
```
PaAlTc2
1.0
4.552 0.000 0.000
2.276 3.942 0.000
2.276 1.314 3.717
Al Tc Pa
1 2 1
Direct
0.500 0.500 0.500
0.750 0.750 0.750
0.250 0.250 0.250
0.000 0.000 0.000
```

Summary:
**Calculated formation energy**: -419 meV/atom
**Space-group type**: Fm-3m
**Volume**: 67 Å³ per cell

11.
The following is a DFT calculation (SCAN) of a crystal of AlPb relaxed with PBEsol.

Cell and atoms, written as POSCAR:
```
AlPb
1.0
4.208 0.000 0.000
0.000 4.240 0.000
0.000 2.120 5.448
Al Pb
2 2
Direct
0.750 0.578 0.845
0.250 0.422 0.155
0.250 0.147 0.705
0.750 0.853 0.295
```

Summary:
**Calculated formation energy**: 177 meV/atom
**Space-group type**: Cmcm
**Volume**: 97 Å³ per cell

12.
The following is a DFT calculation (SCAN) of a crystal of AlPb relaxed with PBEsol.

Cell and atoms, written as POSCAR:
```
AlPb
1.0
-3.282 -1.326 2.132
0.487 -2.755 3.042
-0.513 1.154 3.935
Pb Al
1 1
Direct
0.500 0.500 0.500
0.000 0.000 0.000
```

Summary:
**Calculated formation energy**: 253 meV/atom
**Space-group type**: Fm-3m
**Volume**: 50 Å³ per cell

calculated formation energy of number 6 (Zr3AlP)? -403 meV/atom

Which value of volume does entry 3 give? 109 Å³ per cell